This record from Alexandria describes a relaxed MnFeSbPd2 crystal. The functional is GGA-PBE.

Values from the calculation:
VASP energy	-5.667	eV per atom
ΔE_f (raw)	0.76	eV/atom

Lattice parameters (Å, degrees): 4.754 4.754 4.076 90.00 90.00 90.00
Fractional coordinates of all 5 atoms:
Mn1 0.000 0.000 0.000
Fe1 0.000 0.000 0.500
Sb1 0.500 0.500 0.500
Pd1 0.000 0.500 0.000
Pd2 0.500 0.000 0.000